The following is a DFT calculation (PBE-GGA) of an optimized crystal structure of PmYAsSe.

Computed properties:
V (A^3/atom): 25.59
ρ (g cm⁻³): 6.3
Energy (eV per atom): -6.5696

Unit cell a=4.1562 b=4.1562 c=20.5300 alpha=90.00 beta=90.00 gamma=120.00
Space group R3m (No. 160, hexagonal axes)
Symmetry-distinct sites (fractional):
Pm 0.0000 0.0000 0.0000 (multiplicity 3)
Y 0.0000 0.0000 0.4920 (multiplicity 3)
As 0.0000 0.0000 0.7487 (multiplicity 3)
Se 0.0000 0.0000 0.2433 (multiplicity 3)